Computed, not measured: Mn2SiHgOs after structural relaxation at the PBE-GGA level of DFT.

a b c (Å): 4.363 4.726 4.363
angles (deg): 90.00 90.00 90.00
Fractional coordinates of all 5 atoms:
Si 0.000 0.000 0.000
Mn 0.000 0.000 0.500
Mn 0.500 0.000 0.000
Os 0.500 0.500 0.500
Hg 0.000 0.500 0.000

The calculation puts the formation energy without anion corrections at 1.3272 eV per atom. The space-group type is P4/mmm. The crystal system is tetragonal. The calculation puts the total magnetization at 7.88 Bohr magnetons per cell. As for the calculated volume: 90.0 Å³ per cell.